Here is SmFe2PO8 after structural relaxation from the Alexandria database. Energies are from PBE+U.

Cell and atoms, written as extended XYZ:
```
12
Lattice="5.464 0.000 0.000 -2.732 4.732 0.000 0.000 0.000 5.877" Properties=species:S:1:pos:R:3 pbc="T T T"
Sm 0.000 0.000 0.000
Fe 0.000 3.154 3.080
Fe 2.732 1.577 2.797
P 0.000 0.000 2.939
O 0.000 1.397 3.945
O -1.522 4.033 3.945
O 1.210 0.698 1.932
O 0.000 3.154 1.205
O 2.732 1.577 4.672
O 1.522 4.033 3.945
O 4.254 0.698 1.932
O 2.732 3.335 1.932
```

Computed properties:
Final energy (eV/cell): -78.98
Theoretical density (kg/m³): 4601